No. 1
Os3PdF | PBE | relaxed

Unit cell a=4.8352 b=4.8352 c=4.8352 alpha=90.00 beta=90.00 gamma=90.00
Fractional coordinates of all 5 atoms:
1 Os 0.0000 0.0000 0.5000
2 Os 0.0000 0.5000 0.0000
3 Os 0.5000 0.0000 0.0000
4 Pd 0.0000 0.0000 0.0000
5 F 0.5000 0.5000 0.5000

Summary:
Its volume is 22.61 Å³/atom. Its energy above the most stable polymorph in this dataset is 1106 meV per atom. The value obtained for the total energy is -5.42 eV/atom. Its crystal system is cubic. Its formation energy without anion corrections is 2.73 eV/atom. For the spin magnetization, the calculation gives 8.24 μB/f.u.



No. 2
Mg3FeRh | PBE | relaxed

Unit cell a=4.8466 b=4.8466 c=4.8466 alpha=90.00 beta=90.00 gamma=90.00
Fractional coordinates of all 5 atoms:
1 Mg 0.0000 0.0000 0.5000
2 Mg 0.0000 0.5000 0.0000
3 Mg 0.5000 0.0000 0.0000
4 Fe 0.5000 0.5000 0.5000
5 Rh 0.0000 0.0000 0.0000

Summary:
Its volume is 22.77 Å³/atom. Its energy above the most stable polymorph in this dataset is 0 meV per atom. The value obtained for the total energy is -3.61 eV/atom. Its crystal system is cubic. For the spin magnetization, the calculation gives 3.17 μB/f.u.



No. 3
VCd2P2 | PBE | relaxed

Unit cell a=6.1379 b=6.1379 c=5.0844 alpha=90.00 beta=90.00 gamma=90.00
Fractional coordinates of all 10 atoms:
1 V 0.0000 0.0000 0.0000
2 V 0.5000 0.5000 0.0000
3 Cd 0.2163 0.2837 0.5000
4 Cd 0.2837 0.7837 0.5000
5 Cd 0.7163 0.2163 0.5000
6 Cd 0.7837 0.7163 0.5000
7 P 0.1276 0.3724 0.0000
8 P 0.3724 0.8724 0.0000
9 P 0.6276 0.1276 0.0000
10 P 0.8724 0.6276 0.0000

Summary:
Its volume is 19.15 Å³/atom. The value obtained for the total energy is -4.36 eV/atom. Its crystal system is tetragonal. For the spin magnetization, the calculation gives 2.12 μB/f.u.



No. 4
In2NiSnBi | PBE | relaxed

Unit cell a=5.0546 b=5.0546 c=5.0795 alpha=90.00 beta=90.00 gamma=90.00
Fractional coordinates of all 5 atoms:
1 In 0.0000 0.5000 0.0000
2 In 0.5000 0.0000 0.0000
3 Ni 0.0000 0.0000 0.0000
4 Sn 0.0000 0.0000 0.5000
5 Bi 0.5000 0.5000 0.5000

Summary:
Its volume is 25.96 Å³/atom. The value obtained for the total energy is -3.79 eV/atom. Its crystal system is tetragonal. For the spin magnetization, the calculation gives 0.00 μB/f.u.